Below is a relaxed structure of VRhOF2, with properties calculated at the GGA+U level.

The calculation puts the total energy at -26.85 eV for the cell shown. The calculation puts the density of states at the Fermi level at 4.063 states/eV per cell.

The structure belongs to space group P4/mmm (No. 123); the cell edges are 4.385, 4.385 and 3.775 Å and the angles 90.00°, 90.00° and 90.00°. Symmetry generates all atoms from V at (0.000, 0.000, 0.000), Rh at (0.500, 0.500, 0.500), O at (0.500, 0.500, 0.000) and F at (0.000, 0.500, 0.500).